Entry 1:
A relaxed PmSm4Mg5 crystal. Source: Alexandria via LeMat-Bulk, functional PBE-GGA.

Values from the calculation:
The calculation puts the total magnetic moment at 0.00 μB per formula unit. The total energy is -3.2621 eV per atom. Its space-group type is No. 123.

Cell lengths 3.846, 3.846, 19.311 Å; angles 90.00, 90.00, 90.00 degrees
Atoms (fractional coordinates):
Pm 0.000 0.000 0.000
Sm 0.000 0.000 0.201
Sm 0.000 0.000 0.400
Sm 0.000 0.000 0.600
Sm 0.000 0.000 0.799
Mg 0.500 0.500 0.101
Mg 0.500 0.500 0.301
Mg 0.500 0.500 0.500
Mg 0.500 0.500 0.699
Mg 0.500 0.500 0.899

***

Entry 2:
A relaxed Pr2Ho3Er6In crystal. Source: Alexandria via LeMat-Bulk, functional PBE-GGA.

Values from the calculation:
The calculation puts the total magnetic moment at 0.00 μB per formula unit. The total energy is -4.5069 eV per atom. Its space-group type is No. 12.

Cell lengths 6.068, 6.068, 11.681 Å; angles 94.98, 94.98, 120.02 degrees
Atoms (fractional coordinates):
Pr 0.166 0.834 0.000
Pr 0.834 0.166 0.000
Ho 0.000 0.000 0.500
Ho 0.333 0.667 0.500
Ho 0.667 0.333 0.500
Er 0.089 0.417 0.749
Er 0.256 0.256 0.252
Er 0.417 0.089 0.749
Er 0.583 0.911 0.251
Er 0.744 0.744 0.748
Er 0.911 0.583 0.251
In 0.500 0.500 0.000

***

Entry 3:
A relaxed Li2BiTeS4 crystal. Source: Alexandria via LeMat-Bulk, functional PBE-GGA.

Values from the calculation:
The calculation puts the total magnetic moment at 0.00 μB per formula unit. The total energy is -3.9493 eV per atom. Its space-group type is No. 15. The energy relative to the elements, uncorrected comes out at -4.234 eV per formula unit.

Cell lengths 7.737, 7.737, 7.830 Å; angles 118.15, 118.15, 88.49 degrees
Atoms (fractional coordinates):
Li 0.000 0.000 0.000
Li 0.000 0.000 0.500
Li 0.000 0.500 0.000
Li 0.500 0.000 0.500
Bi 0.500 0.500 0.000
Bi 0.500 0.500 0.500
Te 0.000 0.500 0.500
Te 0.500 0.000 0.000
S 0.205 0.723 0.454
S 0.251 0.254 0.518
S 0.254 0.251 0.018
S 0.277 0.795 0.046
S 0.723 0.205 0.954
S 0.746 0.749 0.982
S 0.749 0.746 0.482
S 0.795 0.277 0.546

***

Entry 4:
A relaxed Ho2CdGe2Rh5 crystal. Source: Alexandria via LeMat-Bulk, functional PBE-GGA.

Values from the calculation:
The calculation puts the total magnetic moment at 0.00 μB per formula unit. The total energy is -6.3677 eV per atom. Its space-group type is No. 127.

Cell lengths 9.796, 9.796, 3.612 Å; angles 90.00, 90.00, 90.00 degrees
Atoms (fractional coordinates):
Ho 0.174 0.326 0.000
Ho 0.326 0.826 0.000
Ho 0.674 0.174 0.000
Ho 0.826 0.674 0.000
Cd 0.000 0.000 0.000
Cd 0.500 0.500 0.000
Ge 0.125 0.625 0.000
Ge 0.375 0.125 0.000
Ge 0.625 0.875 0.000
Ge 0.875 0.375 0.000
Rh 0.000 0.500 0.500
Rh 0.069 0.788 0.500
Rh 0.212 0.069 0.500
Rh 0.288 0.569 0.500
Rh 0.431 0.288 0.500
Rh 0.500 0.000 0.500
Rh 0.569 0.712 0.500
Rh 0.712 0.431 0.500
Rh 0.788 0.931 0.500
Rh 0.931 0.212 0.500

***

Entry 5:
A relaxed GaCuGeSe4 crystal. Source: Alexandria via LeMat-Bulk, functional PBE-GGA.

Values from the calculation:
The calculation puts the total magnetic moment at 0.00 μB per formula unit. The total energy is -4.0632 eV per atom. Its space-group type is No. 82. The energy relative to the elements, uncorrected comes out at -2.764 eV per formula unit.

Cell lengths 5.562, 5.562, 10.948 Å; angles 90.00, 90.00, 90.00 degrees
Atoms (fractional coordinates):
Ga 0.000 0.000 0.000
Ga 0.500 0.500 0.500
Cu 0.000 0.500 0.250
Cu 0.500 0.000 0.750
Ge 0.000 0.500 0.750
Ge 0.500 0.000 0.250
Se 0.233 0.765 0.619
Se 0.235 0.233 0.381
Se 0.265 0.267 0.881
Se 0.267 0.735 0.119
Se 0.733 0.265 0.119
Se 0.735 0.733 0.881
Se 0.765 0.767 0.381
Se 0.767 0.235 0.619

***

Entry 6:
A relaxed Ba2RePb crystal. Source: Alexandria via LeMat-Bulk, functional PBE-GGA.

Values from the calculation:
The calculation puts the total magnetic moment at 2.02 μB per formula unit. The total energy is -4.2358 eV per atom. Its space-group type is No. 10.

Cell lengths 3.588, 4.596, 8.020 Å; angles 90.00, 90.10, 90.00 degrees
Atoms (fractional coordinates):
Ba 0.002 0.000 0.275
Ba 0.998 0.000 0.725
Re 0.500 0.500 0.500
Pb 0.500 0.500 0.000

***

Entry 7:
A relaxed In2Sb2S crystal. Source: Alexandria via LeMat-Bulk, functional PBE-GGA.

Values from the calculation:
The calculation puts the total magnetic moment at 0.00 μB per formula unit. The total energy is -3.3979 eV per atom. Its space-group type is No. 127. The energy relative to the elements, uncorrected comes out at 0.860 eV per formula unit.

Cell lengths 7.632, 7.632, 4.906 Å; angles 90.00, 90.00, 90.00 degrees
Atoms (fractional coordinates):
In 0.193 0.307 0.000
In 0.307 0.807 0.000
In 0.693 0.193 0.000
In 0.807 0.693 0.000
Sb 0.128 0.628 0.500
Sb 0.372 0.128 0.500
Sb 0.628 0.872 0.500
Sb 0.872 0.372 0.500
S 0.000 0.000 0.000
S 0.500 0.500 0.000

***

Entry 8:
A relaxed CaPuTlPb crystal. Source: Alexandria via LeMat-Bulk, functional PBE-GGA.

Values from the calculation:
The calculation puts the total magnetic moment at 5.92 μB per formula unit. The total energy is -5.8406 eV per atom. Its space-group type is No. 47.

Cell lengths 3.684, 5.604, 5.690 Å; angles 90.00, 90.00, 90.00 degrees
Atoms (fractional coordinates):
Ca 0.000 0.000 0.000
Pu 0.000 0.500 0.500
Tl 0.500 0.000 0.500
Pb 0.500 0.500 0.000

***

Entry 9:
A relaxed Gd3S3N crystal. Source: Alexandria via LeMat-Bulk, functional PBE-GGA.

Values from the calculation:
The calculation puts the total magnetic moment at 21.00 μB per formula unit. The total energy is -10.9752 eV per atom. Its space-group type is No. 62. The energy relative to the elements, uncorrected comes out at -13.876 eV per formula unit.

Cell lengths 12.095, 3.897, 12.920 Å; angles 90.00, 90.00, 90.00 degrees
Atoms (fractional coordinates):
Gd 0.047 0.250 0.145
Gd 0.070 0.250 0.630
Gd 0.213 0.250 0.861
Gd 0.287 0.750 0.361
Gd 0.430 0.750 0.130
Gd 0.453 0.750 0.645
Gd 0.547 0.250 0.355
Gd 0.570 0.250 0.870
Gd 0.713 0.250 0.639
Gd 0.787 0.750 0.139
Gd 0.930 0.750 0.370
Gd 0.953 0.750 0.855
S 0.091 0.250 0.397
S 0.133 0.750 0.992
S 0.224 0.750 0.693
S 0.276 0.250 0.193
S 0.367 0.250 0.492
S 0.409 0.750 0.897
S 0.591 0.250 0.103
S 0.633 0.750 0.508
S 0.724 0.750 0.807
S 0.776 0.250 0.307
S 0.867 0.250 0.008
S 0.909 0.750 0.603
N 0.038 0.250 0.798
N 0.462 0.750 0.298
N 0.538 0.250 0.702
N 0.962 0.750 0.202

***

Entry 10:
A relaxed Pr3GeCl crystal. Source: Alexandria via LeMat-Bulk, functional PBE-GGA.

Values from the calculation:
The calculation puts the total magnetic moment at 0.00 μB per formula unit. The total energy is -4.9950 eV per atom. Its space-group type is No. 62. The energy relative to the elements, uncorrected comes out at -4.173 eV per formula unit.

Cell lengths 11.640, 4.152, 12.199 Å; angles 90.00, 90.00, 90.00 degrees
Atoms (fractional coordinates):
Pr 0.060 0.250 0.125
Pr 0.104 0.750 0.573
Pr 0.223 0.250 0.804
Pr 0.277 0.750 0.304
Pr 0.396 0.250 0.073
Pr 0.440 0.750 0.625
Pr 0.560 0.250 0.375
Pr 0.604 0.750 0.927
Pr 0.723 0.250 0.696
Pr 0.777 0.750 0.196
Pr 0.896 0.250 0.427
Pr 0.940 0.750 0.875
Ge 0.013 0.750 0.298
Ge 0.487 0.250 0.798
Ge 0.513 0.750 0.202
Ge 0.987 0.250 0.702
Cl 0.185 0.750 0.980
Cl 0.315 0.250 0.480
Cl 0.685 0.750 0.520
Cl 0.815 0.250 0.020

***

Entry 11:
A relaxed Pu2Mn2SnRh5 crystal. Source: Alexandria via LeMat-Bulk, functional PBE-GGA.

Values from the calculation:
The calculation puts the total magnetic moment at 3.09 μB per formula unit. The total energy is -9.1399 eV per atom. Its space-group type is No. 127.

Cell lengths 9.238, 9.238, 3.942 Å; angles 90.00, 90.00, 90.00 degrees
Atoms (fractional coordinates):
Pu 0.173 0.327 0.000
Pu 0.327 0.827 0.000
Pu 0.673 0.173 0.000
Pu 0.827 0.673 0.000
Mn 0.127 0.627 0.000
Mn 0.373 0.127 0.000
Mn 0.627 0.873 0.000
Mn 0.873 0.373 0.000
Sn 0.000 0.000 0.000
Sn 0.500 0.500 0.000
Rh 0.000 0.500 0.500
Rh 0.071 0.794 0.500
Rh 0.206 0.071 0.500
Rh 0.294 0.571 0.500
Rh 0.429 0.294 0.500
Rh 0.500 0.000 0.500
Rh 0.571 0.706 0.500
Rh 0.706 0.429 0.500
Rh 0.794 0.929 0.500
Rh 0.929 0.206 0.500

***

Entry 12:
A relaxed Ho2Tm8Mg crystal. Source: Alexandria via LeMat-Bulk, functional PBE-GGA.

Values from the calculation:
The calculation puts the total magnetic moment at 0.00 μB per formula unit. The total energy is -4.1940 eV per atom. Its space-group type is No. 12.

Cell lengths 9.931, 9.931, 6.310 Å; angles 94.66, 94.66, 31.96 degrees
Atoms (fractional coordinates):
Ho 0.243 0.243 0.334
Ho 0.757 0.757 0.666
Tm 0.047 0.047 0.264
Tm 0.152 0.152 0.808
Tm 0.339 0.339 0.873
Tm 0.421 0.421 0.405
Tm 0.579 0.579 0.595
Tm 0.661 0.661 0.127
Tm 0.848 0.848 0.192
Tm 0.953 0.953 0.736
Mg 0.500 0.500 0.000

***

Entry 13:
A relaxed BaSr3Sc crystal. Source: Alexandria via LeMat-Bulk, functional PBE-GGA.

Values from the calculation:
The calculation puts the total magnetic moment at 2.92 μB per formula unit. The total energy is -2.2156 eV per atom. Its space-group type is No. 221.

Cell lengths 6.552, 6.552, 6.552 Å; angles 90.00, 90.00, 90.00 degrees
Atoms (fractional coordinates):
Ba 0.000 0.000 0.000
Sr 0.000 0.500 0.500
Sr 0.500 0.000 0.500
Sr 0.500 0.500 0.000
Sc 0.500 0.500 0.500

***

Entry 14:
A relaxed KAu5 crystal. Source: Alexandria via LeMat-Bulk, functional PBE-GGA.

Values from the calculation:
The calculation puts the total magnetic moment at 0.00 μB per formula unit. The total energy is -3.0070 eV per atom. Its space-group type is No. 10.

Cell lengths 5.561, 4.572, 5.666 Å; angles 90.00, 90.10, 90.00 degrees
Atoms (fractional coordinates):
K 0.000 0.000 0.000
Au 0.000 0.500 0.500
Au 0.262 0.000 0.501
Au 0.500 0.500 0.244
Au 0.500 0.500 0.756
Au 0.738 0.000 0.499

***

Entry 15:
A relaxed LiBe3Se crystal. Source: Alexandria via LeMat-Bulk, functional PBE-GGA.

Values from the calculation:
The calculation puts the total magnetic moment at 0.00 μB per formula unit. The total energy is -2.3676 eV per atom. Its space-group type is No. 221. The energy relative to the elements, uncorrected comes out at 4.739 eV per formula unit.

Cell lengths 4.395, 4.395, 4.395 Å; angles 90.00, 90.00, 90.00 degrees
Atoms (fractional coordinates):
Li 0.000 0.000 0.000
Be 0.000 0.500 0.500
Be 0.500 0.000 0.500
Be 0.500 0.500 0.000
Se 0.500 0.500 0.500

***

Entry 16:
A relaxed Rb2GeTe crystal. Source: Alexandria via LeMat-Bulk, functional PBE-GGA.

Values from the calculation:
The calculation puts the total magnetic moment at 0.00 μB per formula unit. The total energy is -2.5281 eV per atom. Its space-group type is No. 122. The energy relative to the elements, uncorrected comes out at -0.418 eV per formula unit.

Cell lengths 13.497, 13.497, 5.634 Å; angles 90.00, 90.00, 90.00 degrees
Atoms (fractional coordinates):
Rb 0.055 0.250 0.125
Rb 0.250 0.555 0.375
Rb 0.250 0.945 0.875
Rb 0.445 0.250 0.625
Rb 0.555 0.750 0.625
Rb 0.750 0.055 0.875
Rb 0.750 0.445 0.375
Rb 0.945 0.750 0.125
Ge 0.000 0.000 0.500
Ge 0.000 0.500 0.750
Ge 0.500 0.000 0.250
Ge 0.500 0.500 0.000
Te 0.000 0.000 0.000
Te 0.000 0.500 0.250
Te 0.500 0.000 0.750
Te 0.500 0.500 0.500

***

Entry 17:
A relaxed GaIrAu2 crystal. Source: Alexandria via LeMat-Bulk, functional PBE-GGA.

Values from the calculation:
The calculation puts the total magnetic moment at 0.00 μB per formula unit. The total energy is -4.4208 eV per atom. Its space-group type is No. 122.

Cell lengths 3.795, 3.795, 19.721 Å; angles 90.00, 90.00, 90.00 degrees
Atoms (fractional coordinates):
Ga 0.000 0.000 0.000
Ga 0.000 0.500 0.250
Ga 0.500 0.000 0.750
Ga 0.500 0.500 0.500
Ir 0.000 0.000 0.500
Ir 0.000 0.500 0.750
Ir 0.500 0.000 0.250
Ir 0.500 0.500 0.000
Au 0.248 0.250 0.625
Au 0.250 0.748 0.875
Au 0.250 0.752 0.375
Au 0.252 0.250 0.125
Au 0.748 0.750 0.125
Au 0.750 0.248 0.375
Au 0.750 0.252 0.875
Au 0.752 0.750 0.625

***

Entry 18:
A relaxed Tl8In2Au crystal. Source: Alexandria via LeMat-Bulk, functional PBE-GGA.

Values from the calculation:
The calculation puts the total magnetic moment at 0.00 μB per formula unit. The total energy is -2.5066 eV per atom. Its space-group type is No. 12.

Cell lengths 9.976, 9.976, 8.838 Å; angles 105.32, 105.32, 22.17 degrees
Atoms (fractional coordinates):
Tl 0.037 0.037 0.258
Tl 0.126 0.126 0.664
Tl 0.315 0.315 0.609
Tl 0.405 0.405 0.021
Tl 0.595 0.595 0.979
Tl 0.685 0.685 0.391
Tl 0.874 0.874 0.336
Tl 0.963 0.963 0.742
In 0.239 0.239 0.136
In 0.761 0.761 0.864
Au 0.500 0.500 0.500

***

Entry 19:
A relaxed RbPSe2 crystal. Source: Alexandria via LeMat-Bulk, functional PBE-GGA.

Values from the calculation:
The calculation puts the total magnetic moment at 0.00 μB per formula unit. The total energy is -3.7089 eV per atom. Its space-group type is No. 122. The energy relative to the elements, uncorrected comes out at -1.489 eV per formula unit.

Cell lengths 7.231, 7.231, 11.142 Å; angles 90.00, 90.00, 90.00 degrees
Atoms (fractional coordinates):
Rb 0.000 0.000 0.000
Rb 0.000 0.500 0.250
Rb 0.500 0.000 0.750
Rb 0.500 0.500 0.500
P 0.000 0.000 0.500
P 0.000 0.500 0.750
P 0.500 0.000 0.250
P 0.500 0.500 0.000
Se 0.116 0.250 0.625
Se 0.250 0.616 0.875
Se 0.250 0.884 0.375
Se 0.384 0.250 0.125
Se 0.616 0.750 0.125
Se 0.750 0.116 0.375
Se 0.750 0.384 0.875
Se 0.884 0.750 0.625

***

Entry 20:
A relaxed Mn2FeAuN crystal. Source: Alexandria via LeMat-Bulk, functional PBE-GGA.

Values from the calculation:
The calculation puts the total magnetic moment at 9.13 μB per formula unit. The total energy is -7.8524 eV per atom. Its space-group type is No. 123. The energy relative to the elements, uncorrected comes out at -0.858 eV per formula unit.

Cell lengths 4.036, 4.036, 3.824 Å; angles 90.00, 90.00, 90.00 degrees
Atoms (fractional coordinates):
Mn 0.000 0.500 0.000
Mn 0.500 0.000 0.000
Fe 0.000 0.000 0.500
Au 0.500 0.500 0.500
N 0.000 0.000 0.000

***

Entry 21:
A relaxed BaNi2Pt crystal. Source: Alexandria via LeMat-Bulk, functional PBE-GGA.

Values from the calculation:
The calculation puts the total magnetic moment at 0.01 μB per formula unit. The total energy is -4.9191 eV per atom. Its space-group type is No. 10.

Cell lengths 4.457, 4.330, 4.935 Å; angles 90.00, 94.02, 90.00 degrees
Atoms (fractional coordinates):
Ba 0.000 0.000 0.000
Ni 0.247 0.500 0.550
Ni 0.753 0.500 0.450
Pt 0.500 0.000 0.500

***

Entry 22:
A relaxed SrSn2Pt2 crystal. Source: Alexandria via LeMat-Bulk, functional PBE-GGA.

Values from the calculation:
The calculation puts the total magnetic moment at 0.00 μB per formula unit. The total energy is -5.0562 eV per atom. Its space-group type is No. 139.

Cell lengths 4.775, 4.775, 10.774 Å; angles 90.00, 90.00, 90.00 degrees
Atoms (fractional coordinates):
Sr 0.000 0.000 0.000
Sr 0.500 0.500 0.500
Sn 0.000 0.000 0.362
Sn 0.000 0.000 0.638
Sn 0.500 0.500 0.138
Sn 0.500 0.500 0.862
Pt 0.000 0.500 0.250
Pt 0.000 0.500 0.750
Pt 0.500 0.000 0.250
Pt 0.500 0.000 0.750